# 1
Compound: EuSbRh4
Source: Alexandria
Functional: GGA-PBE
Structure: relaxed

Cell: 5.3335 5.3335 5.3335 Å, 60.00 60.00 60.00°
Positions (direct):
Rh 0.6259 0.6259 0.6259
Rh 0.6259 0.6259 0.1224
Rh 0.1224 0.6259 0.6259
Rh 0.6259 0.1224 0.6259
Eu 0.2500 0.2500 0.2500
Sb 0.0000 0.0000 0.0000

## Properties
E_tot   -7.565 eV/atom
Symmetry   F-43m
Calculated volume   107.3 Å³/f.u.
Uncorrected formation energy   -0.26 eV/atom

---

# 2
Compound: EuSbRh2
Source: Alexandria
Functional: GGA-PBE
Structure: relaxed

Cell: 3.7381 4.5396 4.5396 Å, 90.00 90.00 90.00°
Positions (direct):
Rh 0.0000 0.5000 0.0000
Rh 0.0000 0.0000 0.5000
Eu 0.5000 0.5000 0.5000
Sb 0.5000 0.0000 0.0000

## Properties
E_tot   -7.708 eV/atom
Symmetry   P4/mmm
Calculated volume   77.0 Å³/f.u.
Uncorrected formation energy   -0.43 eV/atom

---

# 3
Compound: EuSb2Rh
Source: Alexandria
Functional: GGA-PBE
Structure: relaxed

Cell: 4.3719 4.3719 6.4933 Å, 70.33 70.33 60.00°
Positions (direct):
Eu 0.5000 0.5000 0.5000
Rh 0.0000 0.0000 0.0000
Sb 0.2753 0.2753 0.1741
Sb 0.7247 0.7247 0.8259

## Properties
E_tot   -7.164 eV/atom
Symmetry   R-3m
Calculated volume   99.0 Å³/f.u.
Uncorrected formation energy   -0.70 eV/atom

---

# 4
Compound: EuSc2Rh
Source: Alexandria
Functional: GGA-PBE
Structure: relaxed

Cell: 3.3110 3.3110 8.6768 Å, 90.00 90.00 90.00°
Positions (direct):
Sc 0.0000 0.0000 0.1765
Sc 0.0000 0.0000 0.8235
Eu 0.5000 0.5000 0.5000
Rh 0.5000 0.5000 0.0000

## Properties
E_tot   -7.973 eV/atom
Formation enthalpy at 0 K   -401 meV/atom
Symmetry   P4/mmm
Calculated volume   95.1 Å³/f.u.

---

# 5
Compound: EuScRh4
Source: Alexandria
Functional: GGA-PBE
Structure: relaxed

Cell: 5.3069 5.3069 5.3069 Å, 60.00 60.00 60.00°
Positions (direct):
Rh 0.6253 0.1240 0.6253
Rh 0.6253 0.6253 0.1240
Rh 0.6253 0.6253 0.6253
Rh 0.1240 0.6253 0.6253
Sc 0.0000 0.0000 0.0000
Eu 0.2500 0.2500 0.2500

## Properties
E_tot   -8.209 eV/atom
Formation enthalpy at 0 K   -541 meV/atom
Symmetry   F-43m
Calculated volume   105.7 Å³/f.u.

---

# 6
Compound: EuScZnRh
Source: Alexandria
Functional: GGA-PBE
Structure: relaxed

Cell: 4.8745 4.8745 4.8745 Å, 60.00 60.00 60.00°
Positions (direct):
Zn 0.0000 0.0000 0.0000
Eu 0.7500 0.7500 0.7500
Sc 0.2500 0.2500 0.2500
Rh 0.5000 0.5000 0.5000

## Properties
E_tot   -6.692 eV/atom
Formation enthalpy at 0 K   -384 meV/atom
Symmetry   F-43m
Calculated volume   81.9 Å³/f.u.